# CsNdVF6

Crystalline CsNdVF6 at its relaxed geometry (PBE with a Hubbard U, Alexandria via LeMat-Bulk).

Computed properties:
Uncorrected energy   -0.22029 Ha/atom
Crystal system   orthorhombic
Space-group type   No. 74

Cell: 8.508 8.057 8.135 Å, 119.68 121.53 90.00°
Element x y z (fractional)
1 F 0.809 0.099 0.266
2 Nd 0.000 0.000 0.500
3 F 0.191 0.901 0.734
4 F 0.167 0.917 0.334
5 V 0.500 0.500 0.000
6 Cs 0.194 0.444 0.388
7 F 0.833 0.083 0.666
8 F 0.809 0.666 0.266
9 V 0.500 0.000 0.000
10 F 0.457 0.666 0.266
11 F 0.543 0.901 0.734
12 Cs 0.806 0.556 0.612
13 F 0.191 0.334 0.734
14 F 0.454 0.704 0.908
15 F 0.457 0.099 0.266
16 F 0.543 0.334 0.734
17 F 0.546 0.296 0.092
18 Nd 0.500 0.000 0.500